Entry from Alexandria via LeMat-Bulk: an optimized crystal structure of SrGaSiPd (GGA-PBE).

Uncorrected formation energy in eV per formula unit: -1.96
Total magnetic moment in μB/f.u.: 0.00
DOS(E_F) in states/eV/cell: 2.3
Volume in Å³ per cell: 92

Structure (extended XYZ):
```
4
Lattice="-0.345 -2.137 -3.749 1.138 -3.854 2.092 -4.917 2.148 1.727" Properties=species:S:1:pos:R:3 pbc="T T T"
Sr -3.826 -3.787 0.011
Ga -0.456 -3.155 -0.659
Si -1.496 -2.314 1.457
Pd -2.943 -0.552 0.585
```